! CaNiIr2 (PBE, optimized geometry); values from VASP
! Total magnetization   0.000 μB per formula unit
! Theoretical density   12.86 Mg/m³
! V   15.599 Å³ per atom
! DFT formation energy   0.167 eV per atom
! Distance to the lowest polymorph of the same formula   150.8 meV/atom
! Crystal system   orthorhombic
! Space group   Cmmm, No. 65
&SYSTEM
  ibrav = 0, nat = 4, ntyp = 3
/
ATOMIC_SPECIES
Ni 58.69 Ni.upf
Ca 40.08 Ca.upf
Ir 192.22 Ir.upf
CELL_PARAMETERS angstrom
-1.8023 -2.2291 -3.9728
-2.3717 -1.4265 4.0423
-1.8246 2.0769 -0.3376
ATOMIC_POSITIONS angstrom
Ni -1.8134 -0.0761 -2.1552
Ca -2.0981 0.3252 1.8524
Ir 0.0000 0.0000 0.0000
Ir -2.0870 -1.8278 0.0348